# 1
First-principles (GGA-PBE) data for an optimized crystal structure of TbPm2TmSc4, as listed in the Alexandria database.

Output
D(E_F)	1.39	states/eV/atom
formation enthalpy at 0 K	62	meV/atom

Lattice parameters (Å, degrees): 5.9545 3.4404 11.1820 90.00 100.17 90.00
Space group P2/m (No. 10)
Symmetry-distinct sites (fractional):
Tb  0.0000  0.0000  0.0000 [1 per cell]
Pm  0.5000  0.0000  0.5000 [1 per cell]
Pm  0.5000  0.5000  0.0000 [1 per cell]
Tm  0.0000  0.5000  0.5000 [1 per cell]
Sc  0.2480  0.0000  0.7491 [2 per cell]
Sc  0.2495  0.5000  0.2506 [2 per cell]

***

# 2
First-principles (GGA-PBE) data for an optimized crystal structure of Na2FePb, as listed in the Alexandria database.

Output
D(E_F)	1.03	states/eV/atom
formation enthalpy at 0 K	565	meV/atom

Lattice parameters (Å, degrees): 8.6962 8.6962 5.4106 90.00 90.00 90.00
Space group I-42d (No. 122)
Symmetry-distinct sites (fractional):
Na  0.2132  0.2500  0.1250 [8 per cell]
Fe  0.0000  0.0000  0.0000 [4 per cell]
Pb  0.0000  0.0000  0.5000 [4 per cell]

***

# 3
First-principles (GGA-PBE) data for an optimized crystal structure of BaMoW2, as listed in the Alexandria database.

Output
offset from the most stable computed form	537.9	meV/atom
D(E_F)	1.34	states/eV/atom
formation enthalpy at 0 K	1385	meV/atom

Lattice parameters (Å, degrees): 2.9851 5.4314 10.3658 90.00 90.00 90.00
Space group Immm (No. 71)
Symmetry-distinct sites (fractional):
Ba  0.0000  0.0000  0.0000 [2 per cell]
Mo  0.0000  0.0000  0.5000 [2 per cell]
W  0.0000  0.5000  0.2125 [4 per cell]

***

# 4
First-principles (GGA-PBE) data for an optimized crystal structure of ZrReHg, as listed in the Alexandria database.

Output
offset from the most stable computed form	77.2	meV/atom
D(E_F)	0.78	states/eV/atom
formation enthalpy at 0 K	294	meV/atom

Lattice parameters (Å, degrees): 4.8510 4.8510 2.7793 90.00 90.00 120.00
Space group P3m1 (No. 156)
Symmetry-distinct sites (fractional):
Zr  0.0000  0.0000  0.0000 [1 per cell]
Re  0.3333  0.6667  0.6708 [1 per cell]
Hg  0.6667  0.3333  0.4253 [1 per cell]

***

# 5
First-principles (GGA-PBE) data for an optimized crystal structure of Na8Tl6Ga, as listed in the Alexandria database.

Output
D(E_F)	0.44	states/eV/atom
formation enthalpy at 0 K	-67	meV/atom

Lattice parameters (Å, degrees): 9.1149 9.1149 19.7026 90.00 90.00 120.00
Space group R-3 (No. 148, hexagonal axes)
Symmetry-distinct sites (fractional):
Na  0.0000  0.0000  0.1621 [6 per cell]
Na  0.0123  0.6515  0.3821 [18 per cell]
Tl  0.0025  0.6921  0.5472 [18 per cell]
Ga  0.0000  0.0000  0.5000 [3 per cell]

***

# 6
First-principles (GGA-PBE) data for an optimized crystal structure of YMgRe2, as listed in the Alexandria database.

Output
D(E_F)	1.14	states/eV/atom
formation enthalpy at 0 K	572	meV/atom

Lattice parameters (Å, degrees): 2.7573 2.7573 9.4543 90.00 90.00 90.00
Space group P4/mmm (No. 123)
Symmetry-distinct sites (fractional):
Y  0.0000  0.0000  0.0000 [1 per cell]
Mg  0.0000  0.0000  0.5000 [1 per cell]
Re  0.5000  0.5000  0.2663 [2 per cell]

***

# 7
First-principles (GGA-PBE) data for an optimized crystal structure of Er2BiTeO8, as listed in the Alexandria database.

Output
energy relative to the elements, uncorrected	-2.11	eV per atom
D(E_F)	0.11	states/eV/atom

Lattice parameters (Å, degrees): 6.9418 7.1863 6.8678 90.00 90.00 90.00
Space group Cmmm (No. 65)
Symmetry-distinct sites (fractional):
Er  0.0000  0.0000  0.2414 [4 per cell]
Bi  0.0000  0.5000  0.5000 [2 per cell]
Te  0.0000  0.5000  0.0000 [2 per cell]
O  0.0000  0.3161  0.2148 [8 per cell]
O  0.1873  0.0000  0.5000 [4 per cell]
O  0.2197  0.0000  0.0000 [4 per cell]

***

# 8
First-principles (GGA-PBE) data for an optimized crystal structure of Ba4Na2Tl, as listed in the Alexandria database.

Output
D(E_F)	0.98	states/eV/atom
formation enthalpy at 0 K	-52	meV/atom

Lattice parameters (Å, degrees): 10.9354 6.3111 10.7814 90.00 109.53 90.00
Space group C2/m (No. 12)
Symmetry-distinct sites (fractional):
Ba  0.1198  0.0000  0.3621 [4 per cell]
Ba  0.1284  0.5000  0.8845 [4 per cell]
Na  0.2485  0.5000  0.2475 [4 per cell]
Tl  0.0000  0.0000  0.0000 [2 per cell]

***

# 9
First-principles (GGA-PBE) data for an optimized crystal structure of RbSbO2, as listed in the Alexandria database.

Output
energy relative to the elements, uncorrected	-0.79	eV per atom
D(E_F)	0.00	states/eV/atom

Lattice parameters (Å, degrees): 3.5566 3.5566 22.4257 90.00 90.00 120.00
Space group R-3m (No. 166, hexagonal axes)
Symmetry-distinct sites (fractional):
Rb  0.0000  0.0000  0.0000 [3 per cell]
Sb  0.0000  0.0000  0.5000 [3 per cell]
O  0.0000  0.0000  0.4148 [6 per cell]